--- a ---
DFT (GGA-PBE) results for SiGeAs2 after structural relaxation.

a = 6.614 Å, b = 6.614 Å, c = 6.614 Å
α = 90.00°, β = 90.00°, γ = 90.00°
Space group Fm-3m (No. 225)
Symmetry-distinct sites (fractional):
Si1 0.000 0.000 0.000 [4 per cell]
Ge1 0.000 0.000 0.500 [4 per cell]
As1 0.250 0.250 0.250 [8 per cell]

Values from the calculation:
V = 289 Å³ per cell
Density = 5.75 Mg/m³
Fermi-level density of states = 6.94 states/eV per cell



--- b ---
DFT (GGA-PBE) results for SiGeAs2 after structural relaxation.

a = 6.350 Å, b = 6.350 Å, c = 9.413 Å
α = 90.00°, β = 90.00°, γ = 90.00°
Space group I-42d (No. 122)
Symmetry-distinct sites (fractional):
Si1 0.000 0.000 0.000 [4 per cell]
Ge1 0.000 0.000 0.500 [4 per cell]
As1 0.213 0.250 0.125 [8 per cell]

Values from the calculation:
V = 380 Å³ per cell
Density = 4.39 Mg/m³
Fermi-level density of states = 5.44 states/eV per cell



Quick ranking, most stable first: b, a.



--- a ---
DFT (GGA-PBE) results for Si2GeAs after structural relaxation.

a = 6.494 Å, b = 6.494 Å, c = 6.494 Å
α = 90.00°, β = 90.00°, γ = 90.00°
Space group Fm-3m (No. 225)
Symmetry-distinct sites (fractional):
Si1 0.250 0.250 0.250 [8 per cell]
Ge1 0.000 0.000 0.000 [4 per cell]
As1 0.000 0.000 0.500 [4 per cell]

Values from the calculation:
V = 274 Å³ per cell
Density = 4.94 Mg/m³
Fermi-level density of states = 6.54 states/eV per cell



--- b ---
DFT (GGA-PBE) results for Si2GeAs after structural relaxation.

a = 5.607 Å, b = 5.607 Å, c = 11.388 Å
α = 90.00°, β = 90.00°, γ = 90.00°
Space group I-42d (No. 122)
Symmetry-distinct sites (fractional):
Si1 0.241 0.250 0.125 [8 per cell]
Ge1 0.000 0.000 0.000 [4 per cell]
As1 0.000 0.000 0.500 [4 per cell]

Values from the calculation:
V = 358 Å³ per cell
Density = 3.78 Mg/m³
Fermi-level density of states = 10.00 states/eV per cell



Quick ranking, most stable first: b, a.



--- a ---
DFT (GGA-PBE) results for Sm2GeAs after structural relaxation.

a = 4.315 Å, b = 23.174 Å, c = 4.112 Å
α = 90.00°, β = 90.00°, γ = 90.00°
Space group Cmcm (No. 63)
Symmetry-distinct sites (fractional):
Sm1 0.000 0.065 0.250 [4 per cell]
Sm2 0.000 0.314 0.250 [4 per cell]
Ge1 0.000 0.460 0.250 [4 per cell]
As1 0.000 0.188 0.250 [4 per cell]

Values from the calculation:
V = 411 Å³ per cell
Density = 7.24 Mg/m³
Fermi-level density of states = 6.30 states/eV per cell



--- b ---
DFT (GGA-PBE) results for Sm2GeAs after structural relaxation.

a = 4.0695 Å, b = 4.0695 Å, c = 22.7134 Å
α = 90.00°, β = 90.00°, γ = 120.00°
Space group R3m (No. 160, hexagonal axes)
Symmetry-distinct sites (fractional):
Sm1 0.0000 0.0000 0.0000 [3 per cell]
Sm2 0.0000 0.0000 0.1652 [3 per cell]
Ge1 0.0000 0.0000 0.5843 [3 per cell]
As1 0.0000 0.0000 0.4145 [3 per cell]

Values from the calculation:
V = 326 Å³ per cell
Density = 6.86 Mg/m³
Fermi-level density of states = 5.04 states/eV per cell



--- c ---
DFT (GGA-PBE) results for Sm2GeAs after structural relaxation.

a = 4.1378 Å, b = 4.1378 Å, c = 21.5630 Å
α = 90.00°, β = 90.00°, γ = 120.00°
Space group R-3m (No. 166, hexagonal axes)
Symmetry-distinct sites (fractional):
Sm1 0.0000 0.0000 0.2471 [6 per cell]
Ge1 0.0000 0.0000 0.0000 [3 per cell]
As1 0.0000 0.0000 0.5000 [3 per cell]

Values from the calculation:
V = 320 Å³ per cell
Density = 6.98 Mg/m³
Fermi-level density of states = 4.44 states/eV per cell



Quick ranking, most stable first: a, c, b.



--- a ---
DFT (GGA-PBE) results for SnGeAs3 after structural relaxation.

a = 11.958 Å, b = 12.303 Å, c = 7.182 Å
α = 90.00°, β = 96.77°, γ = 90.00°
Space group C2/c (No. 15)
Symmetry-distinct sites (fractional):
Sn1 0.000 0.084 0.250 [4 per cell]
Sn2 0.000 0.243 0.750 [4 per cell]
Ge1 0.180 0.416 0.242 [8 per cell]
As1 0.081 0.436 0.541 [8 per cell]
As2 0.124 0.081 0.608 [8 per cell]
As3 0.161 0.236 0.076 [8 per cell]

Values from the calculation:
V = 1049 Å³ per cell
Density = 5.27 Mg/m³
Fermi-level density of states = 11.12 states/eV per cell



--- b ---
DFT (GGA-PBE) results for SnGeAs3 after structural relaxation.

a = 5.219 Å, b = 5.219 Å, c = 5.219 Å
α = 90.00°, β = 90.00°, γ = 90.00°
Space group Pm-3m (No. 221)
Symmetry-distinct sites (fractional):
Sn1 0.000 0.000 0.000 [1 per cell]
Ge1 0.500 0.500 0.500 [1 per cell]
As1 0.000 0.000 0.500 [3 per cell]

Values from the calculation:
V = 142 Å³ per cell
Density = 4.86 Mg/m³
Fermi-level density of states = 5.81 states/eV per cell



Quick ranking, most stable first: a, b.



--- a ---
DFT (GGA-PBE) results for SnGeAs3 after structural relaxation.

a = 8.153 Å, b = 3.832 Å, c = 8.266 Å
α = 90.00°, β = 98.31°, γ = 90.00°
Space group P2_1/m (No. 11)
Symmetry-distinct sites (fractional):
Sn1 0.206 0.250 0.166 [2 per cell]
Ge1 0.310 0.750 0.693 [2 per cell]
As1 0.084 0.750 0.452 [2 per cell]
As2 0.143 0.750 0.921 [2 per cell]
As3 0.495 0.250 0.644 [2 per cell]

Values from the calculation:
V = 256 Å³ per cell
Density = 5.41 Mg/m³
Fermi-level density of states = 2.42 states/eV per cell



--- b ---
DFT (GGA-PBE) results for SnGeAs3 after structural relaxation.

a = 4.976 Å, b = 4.976 Å, c = 4.976 Å
α = 90.00°, β = 90.00°, γ = 90.00°
Space group Pm-3m (No. 221)
Symmetry-distinct sites (fractional):
Sn1 0.000 0.000 0.000 [1 per cell]
Ge1 0.500 0.500 0.500 [1 per cell]
As1 0.000 0.500 0.500 [3 per cell]

Values from the calculation:
V = 123 Å³ per cell
Density = 5.61 Mg/m³
Fermi-level density of states = 4.37 states/eV per cell



Quick ranking, most stable first: a, b.



--- a ---
DFT (GGA-PBE) results for SnGe2As after structural relaxation.

a = 6.065 Å, b = 6.065 Å, c = 12.409 Å
α = 90.00°, β = 90.00°, γ = 90.00°
Space group I-42d (No. 122)
Symmetry-distinct sites (fractional):
Sn1 0.000 0.000 0.000 [4 per cell]
Ge1 0.231 0.250 0.625 [8 per cell]
As1 0.000 0.000 0.500 [4 per cell]

Values from the calculation:
V = 456 Å³ per cell
Density = 4.93 Mg/m³
Fermi-level density of states = 8.56 states/eV per cell



--- b ---
DFT (GGA-PBE) results for SnGe2As after structural relaxation.

a = 4.2968 Å, b = 4.2968 Å, c = 22.4169 Å
α = 90.00°, β = 90.00°, γ = 120.00°
Space group R-3m (No. 166, hexagonal axes)
Symmetry-distinct sites (fractional):
Sn1 0.0000 0.0000 0.0000 [3 per cell]
Ge1 0.0000 0.0000 0.3949 [6 per cell]
As1 0.0000 0.0000 0.5000 [3 per cell]

Values from the calculation:
V = 358 Å³ per cell
Density = 4.71 Mg/m³
Fermi-level density of states = 6.37 states/eV per cell



Quick ranking, most stable first: a, b.



--- a ---
DFT (GGA-PBE) results for Sr3Ge2As4 after structural relaxation.

a = 7.706 Å, b = 18.765 Å, c = 7.554 Å
α = 90.00°, β = 111.90°, γ = 90.00°
Space group P2_1/c (No. 14)
Symmetry-distinct sites (fractional):
Sr1 0.218 0.185 0.013 [4 per cell]
Sr2 0.255 0.061 0.512 [4 per cell]
Sr3 0.261 0.560 0.502 [4 per cell]
Ge1 0.212 0.629 0.028 [4 per cell]
Ge2 0.315 0.740 0.914 [4 per cell]
As1 0.008 0.561 0.752 [4 per cell]
As2 0.040 0.686 0.219 [4 per cell]
As3 0.497 0.568 0.242 [4 per cell]
As4 0.498 0.198 0.776 [4 per cell]

Values from the calculation:
V = 1014 Å³ per cell
Density = 4.64 Mg/m³



--- b ---
DFT (GGA-PBE) results for Sr3Ge2As4 after structural relaxation.

a = 15.283 Å, b = 8.588 Å, c = 7.970 Å
α = 90.00°, β = 91.72°, γ = 90.00°
Space group C2/c (No. 15)
Symmetry-distinct sites (fractional):
Sr1 0.000 0.008 0.250 [4 per cell]
Sr2 0.127 0.407 0.869 [8 per cell]
Ge1 0.188 0.148 0.511 [8 per cell]
As1 0.048 0.276 0.503 [8 per cell]
As2 0.221 0.080 0.828 [8 per cell]

Values from the calculation:
V = 1046 Å³ per cell
Density = 4.50 Mg/m³
Fermi-level density of states = 4.71 states/eV per cell



Quick ranking, most stable first: a, b.



--- a ---
DFT (GGA-PBE) results for Ta2GeAs after structural relaxation.

a = 3.1556 Å, b = 3.1556 Å, c = 26.8334 Å
α = 90.00°, β = 90.00°, γ = 120.00°
Space group R-3m (No. 166, hexagonal axes)
Symmetry-distinct sites (fractional):
Ta1 0.0000 0.0000 0.0953 [6 per cell]
Ge1 0.0000 0.0000 0.0000 [3 per cell]
As1 0.0000 0.0000 0.5000 [3 per cell]

Values from the calculation:
V = 231 Å³ per cell
Density = 10.97 Mg/m³
Fermi-level density of states = 10.51 states/eV per cell



--- b ---
DFT (GGA-PBE) results for Ta2GeAs after structural relaxation.

a = 6.440 Å, b = 6.440 Å, c = 6.440 Å
α = 90.00°, β = 90.00°, γ = 90.00°
Space group Fm-3m (No. 225)
Symmetry-distinct sites (fractional):
Ta1 0.250 0.250 0.250 [8 per cell]
Ge1 0.000 0.000 0.000 [4 per cell]
As1 0.000 0.000 0.500 [4 per cell]

Values from the calculation:
V = 267 Å³ per cell
Density = 12.67 Mg/m³
Fermi-level density of states = 10.98 states/eV per cell



Quick ranking, most stable first: b, a.



--- a ---
DFT (GGA-PBE) results for TcGeAs after structural relaxation.

a = 3.139 Å, b = 11.834 Å, c = 5.374 Å
α = 90.00°, β = 90.00°, γ = 90.00°
Space group Cmc2_1 (No. 36)
Symmetry-distinct sites (fractional):
Tc1 0.000 0.100 0.000 [4 per cell]
Ge1 0.000 0.435 0.873 [4 per cell]
As1 0.000 0.295 0.205 [4 per cell]

Values from the calculation:
V = 200 Å³ per cell
Density = 8.17 Mg/m³
Fermi-level density of states = 0.30 states/eV per cell



--- b ---
DFT (GGA-PBE) results for TcGeAs after structural relaxation.

a = 11.808 Å, b = 3.128 Å, c = 5.409 Å
α = 90.00°, β = 90.43°, γ = 90.00°
Space group Cm (No. 8)
Symmetry-distinct sites (fractional):
Tc1 0.000 0.000 0.000 [2 per cell]
Tc2 0.193 0.000 0.519 [2 per cell]
Ge1 0.030 0.500 0.377 [2 per cell]
Ge2 0.306 0.500 0.221 [2 per cell]
As1 0.163 0.500 0.881 [2 per cell]
As2 0.391 0.000 0.710 [2 per cell]

Values from the calculation:
V = 200 Å³ per cell
Density = 8.16 Mg/m³
Fermi-level density of states = 1.87 states/eV per cell



--- c ---
DFT (GGA-PBE) results for TcGeAs after structural relaxation.

a = 3.095 Å, b = 3.095 Å, c = 10.923 Å
α = 90.00°, β = 90.00°, γ = 90.00°
Space group I4mm (No. 107)
Symmetry-distinct sites (fractional):
Tc1 0.000 0.000 0.000 [2 per cell]
Ge1 0.000 0.000 0.357 [2 per cell]
As1 0.000 0.000 0.627 [2 per cell]

Values from the calculation:
V = 105 Å³ per cell
Density = 7.79 Mg/m³
Fermi-level density of states = 2.20 states/eV per cell



--- d ---
DFT (GGA-PBE) results for TcGeAs after structural relaxation.

a = 3.195 Å, b = 5.037 Å, c = 12.257 Å
α = 90.00°, β = 90.00°, γ = 90.00°
Space group Immm (No. 71)
Symmetry-distinct sites (fractional):
Tc1 0.000 0.000 0.128 [4 per cell]
Ge1 0.000 0.239 0.500 [4 per cell]
As1 0.000 0.500 0.209 [4 per cell]

Values from the calculation:
V = 197 Å³ per cell
Density = 8.27 Mg/m³
Fermi-level density of states = 2.25 states/eV per cell



Quick ranking, most stable first: a, b, d, c.



--- a ---
DFT (GGA-PBE) results for TcGeAs after structural relaxation.

a = 9.016 Å, b = 3.183 Å, c = 7.730 Å
α = 90.00°, β = 117.72°, γ = 90.00°
Space group C2/m (No. 12)
Symmetry-distinct sites (fractional):
Tc1 0.150 0.000 0.193 [4 per cell]
Ge1 0.149 0.000 0.537 [4 per cell]
As1 0.096 0.500 0.889 [4 per cell]

Values from the calculation:
V = 196 Å³ per cell
Density = 8.30 Mg/m³
Fermi-level density of states = 1.86 states/eV per cell



--- b ---
DFT (GGA-PBE) results for TcGeAs after structural relaxation.

a = 8.177 Å, b = 3.286 Å, c = 4.460 Å
α = 90.00°, β = 122.14°, γ = 90.00°
Space group Cm (No. 8)
Symmetry-distinct sites (fractional):
Tc1 0.000 0.000 0.000 [2 per cell]
Ge1 0.296 0.500 0.298 [2 per cell]
As1 0.218 0.000 0.716 [2 per cell]

Values from the calculation:
V = 101 Å³ per cell
Density = 8.04 Mg/m³
Fermi-level density of states = 4.53 states/eV per cell



Quick ranking, most stable first: a, b.